A plane-wave DFT calculation with GGA-PBE was carried out for Fe2BW after structural relaxation.

Computed properties:
VASP energy: -71.16 eV for the cell shown
Symmetry: I-42d, No. 122

The structure in POSCAR format:
```
Fe2BW
1.0
-3.1309 3.1309 2.2856
3.1309 -3.1309 2.2856
3.1309 3.1309 -2.2856
Fe B W
4 2 2
Direct
0.0338 0.6250 0.9088
0.3750 0.2838 0.4088
0.7162 0.1250 0.0912
0.8750 0.9662 0.5912
0.0000 0.0000 0.0000
0.7500 0.2500 0.5000
0.2500 0.7500 0.5000
0.5000 0.5000 0.0000
```